## SnHIr (PBE-GGA)

Data for a geometry-optimized SnHIr structure.

Calculated total energy: -5.40 eV per atom
Symmetry: P-1
Offset from the most stable computed form: 0.000 eV/atom

Lattice parameters (Å, degrees): 4.479 3.067 7.238 64.98 79.52 90.01
Element x y z (fractional)
Ir (0.121, 0.133, 0.928)
Ir (0.811, 0.283, 0.279)
H (0.732, 0.027, 0.536)
H (0.200, 0.389, 0.671)
Sn (0.296, 0.729, 0.334)
Sn (0.637, 0.687, 0.873)


## LaV3Co (PBE-GGA)

Data for a geometry-optimized LaV3Co structure.

Calculated total energy: -5.98 eV per atom
Symmetry: Pm-3m
E_form: 1.90 eV/atom
Offset from the most stable computed form: 1.375 eV/atom

Lattice parameters (Å, degrees): 4.516 4.516 4.516 90.00 90.00 90.00
Last column: magnetic moment on the atom in μB.
Element x y z (fractional)
V (0.000, 0.500, 0.000)  -0.02
V (0.000, 0.000, 0.500)  -0.02
V (0.500, 0.000, 0.000)  -0.02
Co (0.500, 0.500, 0.500)  1.91
La (0.000, 0.000, 0.000)  -0.02


## CaSeBr2 (PBE-GGA)

Data for a geometry-optimized CaSeBr2 structure.

ΔE_f (raw): -0.68 eV per atom
Calculated total energy: -2.88 eV per atom
Symmetry: F-43m
Offset from the most stable computed form: 0.560 eV/atom

Lattice parameters (Å, degrees): 5.358 5.358 5.358 60.00 60.00 60.00
Last column: magnetic moment on the atom in μB.
Element x y z (fractional)
Ca (0.500, 0.500, 0.500)  0.03
Se (0.750, 0.750, 0.750)  0.69
Br (0.000, 0.000, 0.000)  0.52
Br (0.250, 0.250, 0.250)  0.14


## Sm2YZn2In2 (PBE-GGA)

Data for a geometry-optimized Sm2YZn2In2 structure.

Calculated total energy: -3.72 eV per atom
Symmetry: R-3m
E_form: -0.30 eV/atom

Lattice parameters (Å, degrees): 4.718 4.718 9.665 75.87 75.87 60.00
Element x y z (fractional)
Sm (0.873, 0.873, 0.381)
Sm (0.127, 0.127, 0.619)
Zn (0.395, 0.395, 0.815)
Zn (0.605, 0.605, 0.185)
In (0.266, 0.266, 0.203)
In (0.734, 0.734, 0.797)
Y (0.000, 0.000, 0.000)


## DyErGaRh (PBE-GGA)

Data for a geometry-optimized DyErGaRh structure.

Calculated total energy: -5.59 eV per atom
Symmetry: F-43m
E_form: -0.70 eV/atom
Offset from the most stable computed form: 0.048 eV/atom

Lattice parameters (Å, degrees): 4.940 4.940 4.940 60.00 60.00 60.00
Element x y z (fractional)
Ga (0.000, 0.000, 0.000)
Rh (0.500, 0.500, 0.500)
Dy (0.750, 0.750, 0.750)
Er (0.250, 0.250, 0.250)


## Sc2Zn2In (PBE-GGA)

Data for a geometry-optimized Sc2Zn2In structure.

Calculated total energy: -3.69 eV per atom
Symmetry: I4/mmm
E_form: -0.10 eV/atom

Lattice parameters (Å, degrees): 3.488 3.488 9.150 79.01 79.01 90.00
Element x y z (fractional)
Zn (0.250, 0.750, 0.500)
Zn (0.750, 0.250, 0.500)
Sc (0.390, 0.390, 0.220)
Sc (0.610, 0.610, 0.780)
In (0.000, 0.000, 0.000)


## Ti2HgIr (PBE-GGA)

Data for a geometry-optimized Ti2HgIr structure.

Calculated total energy: -6.50 eV per atom
Symmetry: Fm-3m
E_form: -0.26 eV/atom
Offset from the most stable computed form: 0.168 eV/atom

Lattice parameters (Å, degrees): 4.572 4.572 4.572 60.00 60.00 60.00
Element x y z (fractional)
Ti (0.250, 0.250, 0.250)
Ti (0.750, 0.750, 0.750)
Hg (0.500, 0.500, 0.500)
Ir (0.000, 0.000, 0.000)


## Zr4TlNi (PBE-GGA)

Data for a geometry-optimized Zr4TlNi structure.

Calculated total energy: -7.17 eV per atom
Symmetry: P4/mcc
E_form: -0.11 eV/atom
Offset from the most stable computed form: 0.000 eV/atom

Lattice parameters (Å, degrees): 5.615 6.758 6.758 90.00 90.00 90.00
Element x y z (fractional)
Ni (0.250, 0.500, 0.500)
Ni (0.750, 0.500, 0.500)
Tl (0.750, 0.000, 0.000)
Tl (0.250, 0.000, 0.000)
Zr (0.000, 0.363, 0.177)
Zr (0.500, 0.177, 0.363)
Zr (0.000, 0.177, 0.637)
Zr (0.000, 0.637, 0.823)
Zr (0.000, 0.823, 0.363)
Zr (0.500, 0.637, 0.177)
Zr (0.500, 0.823, 0.637)
Zr (0.500, 0.363, 0.823)